# PBE-GGA SmIn3Hg4, relaxed
data_SmIn3Hg4
_chemical_formula_sum 'Sm2 In6 Hg8'
_symmetry_space_group_name_H-M 'P 1'
_symmetry_Int_Tables_number 1
_symmetry_space_group_name_Hall 'P 1'
_cell_length_a 9.968
_cell_length_b 8.186
_cell_length_c 4.983
_cell_angle_alpha 90.00
_cell_angle_beta 90.00
_cell_angle_gamma 90.00
loop_
_atom_site_label
_atom_site_fract_x
_atom_site_fract_y
_atom_site_fract_z
_atom_site_occupancy
Sm1 0.000 0.000 0.000 1
Sm2 0.500 0.000 0.000 1
In1 0.000 0.500 0.000 1
In2 0.250 0.000 0.499 1
In3 0.250 0.500 0.498 1
In4 0.500 0.500 0.000 1
In5 0.750 0.000 0.501 1
In6 0.750 0.500 0.502 1
Hg1 0.000 0.252 0.500 1
Hg2 0.000 0.748 0.500 1
Hg3 0.250 0.252 0.998 1
Hg4 0.250 0.748 0.998 1
Hg5 0.500 0.252 0.500 1
Hg6 0.500 0.748 0.500 1
Hg7 0.750 0.252 0.002 1
Hg8 0.750 0.748 0.002 1
# DOS(E_F): 6.8 states/eV/cell
# E_tot: -1.964 eV/atom
# calculated density: 10.594 g/cm3
# energy of formation from the pure elements: -196 meV per atom